Entry 1:
## LaYBi2 (PBE)

Data for a relaxed structure of LaYBi2.

```
4
Lattice="2.281 1.317 7.803 -2.281 1.317 7.803 0.000 -2.634 7.803" Properties=species:S:1:pos:R:3 pbc="T T T"
La 0.000 0.000 0.000
Y 0.000 0.000 3.998
Bi 0.000 0.000 9.863
Bi 0.000 0.000 13.652
```

Results
Offset from the most stable computed form in meV/atom: 118

---

Entry 2:
## La2YBi4 (PBE)

Data for a relaxed structure of La2YBi4.

```
7
Lattice="-2.921 2.921 8.085 2.921 -2.921 8.085 2.921 2.921 -8.085" Properties=species:S:1:pos:R:3 pbc="T T T"
La 0.000 0.000 1.818
La 0.000 0.000 14.351
Y 0.000 0.000 8.085
Bi 2.921 0.000 0.000
Bi 0.000 0.000 4.981
Bi 0.000 2.921 0.000
Bi 0.000 0.000 11.189
```

---

Entry 3:
## La2YBi3 (PBE)

Data for a relaxed structure of La2YBi3.

```
6
Lattice="-2.321 2.321 9.813 2.321 -2.321 9.813 2.321 2.321 -9.813" Properties=species:S:1:pos:R:3 pbc="T T T"
La 0.000 0.000 3.267
La 0.000 0.000 16.358
Y 0.000 0.000 9.813
Bi 0.000 0.000 0.000
Bi 0.000 0.000 6.607
Bi 0.000 0.000 13.018
```

Results
Offset from the most stable computed form in meV/atom: 7

---

Entry 4:
## LaYZrBi2 (PBE)

Data for a relaxed structure of LaYZrBi2.

```
5
Lattice="6.033 0.000 0.000 0.000 6.033 0.000 0.000 0.000 5.275" Properties=species:S:1:pos:R:3 pbc="T T T"
La 0.000 0.000 0.000
Y 3.016 3.016 2.638
Zr 0.000 0.000 2.638
Bi 0.000 3.016 0.000
Bi 3.016 0.000 0.000
```

---

Entry 5:
## LaZn2Bi2 (PBE)

Data for a relaxed structure of LaZn2Bi2.

```
5
Lattice="-2.625 2.625 4.915 2.625 -2.625 4.915 2.625 2.625 -4.915" Properties=species:S:1:pos:R:3 pbc="T T T"
La 0.000 0.000 0.000
Zn 0.000 0.000 3.712
Zn 0.000 0.000 6.118
Bi 2.625 0.000 2.457
Bi 0.000 2.625 2.457
```

---

Entry 6:
## LaZn2Bi (PBE)

Data for a relaxed structure of LaZn2Bi.

```
4
Lattice="4.608 0.000 0.000 0.000 4.608 0.000 0.000 0.000 4.781" Properties=species:S:1:pos:R:3 pbc="T T T"
La 0.000 0.000 0.000
Zn 0.000 2.304 2.390
Zn 2.304 0.000 2.390
Bi 2.304 2.304 0.000
```

---

Entry 7:
## LaZn2Bi2 (PBE)

Data for a relaxed structure of LaZn2Bi2.

```
10
Lattice="8.009 0.000 0.000 0.000 8.009 0.000 0.000 0.000 4.003" Properties=species:S:1:pos:R:3 pbc="T T T"
La 0.000 0.000 0.000
La 4.005 4.005 0.000
Zn 0.901 3.103 0.000
Zn 3.103 7.108 0.000
Zn 4.906 0.901 0.000
Zn 7.108 4.906 0.000
Bi 1.447 5.452 2.002
Bi 2.557 1.447 2.002
Bi 5.452 6.562 2.002
Bi 6.562 2.557 2.002
```

---

Entry 8:
## La2Zn2Bi (PBE)

Data for a relaxed structure of La2Zn2Bi.

```
5
Lattice="-2.025 2.025 8.767 2.025 -2.025 8.767 2.025 2.025 -8.767" Properties=species:S:1:pos:R:3 pbc="T T T"
La 0.000 0.000 1.908
La 0.000 0.000 15.626
Zn 2.025 0.000 4.383
Zn 0.000 2.025 4.383
Bi 0.000 0.000 8.767
```

Results
Offset from the most stable computed form in meV/atom: 147

---

Entry 9:
## La2Zn2Bi (PBE)

Data for a relaxed structure of La2Zn2Bi.

```
5
Lattice="-3.015 3.015 4.018 3.015 -3.015 4.018 3.015 3.015 -4.018" Properties=species:S:1:pos:R:3 pbc="T T T"
La 3.015 0.000 2.009
La 0.000 3.015 2.009
Zn 0.000 0.000 1.157
Zn 0.000 0.000 6.879
Bi 0.000 0.000 4.018
```

Results
Offset from the most stable computed form in meV/atom: 263

---

Entry 10:
## La4Zn2Bi (PBE)

Data for a relaxed structure of La4Zn2Bi.

```
7
Lattice="2.662 1.537 8.819 -2.662 1.537 8.819 0.000 -3.074 8.819" Properties=species:S:1:pos:R:3 pbc="T T T"
La 0.000 0.000 3.059
La 0.000 0.000 9.623
La 0.000 0.000 16.835
La 0.000 0.000 23.400
Zn 0.000 0.000 6.633
Zn 0.000 0.000 19.825
Bi 0.000 0.000 13.229
```

---

Entry 11:
## LaZnBi2 (PBE)

Data for a relaxed structure of LaZnBi2.

```
4
Lattice="1.811 1.046 10.850 -1.811 1.046 10.850 0.000 -2.092 10.850" Properties=species:S:1:pos:R:3 pbc="T T T"
La 0.000 0.000 0.000
Zn 0.000 0.000 16.275
Bi 0.000 0.000 3.314
Bi 0.000 0.000 29.235
```

---

Entry 12:
## La6Zn5Bi (PBE)

Data for a relaxed structure of La6Zn5Bi.

```
12
Lattice="2.691 -8.141 0.000 2.691 8.141 0.000 0.000 0.000 7.625" Properties=species:S:1:pos:R:3 pbc="T T T"
La 0.000 0.000 1.841
La 0.000 0.000 5.783
La 2.691 2.780 1.810
La 2.691 2.780 5.814
La 2.691 -2.780 1.810
La 2.691 -2.780 5.814
Zn 2.691 5.489 0.000
Zn 2.691 5.245 3.812
Zn 2.691 0.000 0.000
Zn 2.691 -5.245 3.812
Zn 2.691 -5.489 0.000
Bi 2.691 0.000 3.812
```

---

| no. | DFT formation energy (kJ per mole of atoms) | density of states at the Fermi level (states/eV/atom) |
| --- | --- | --- |
| 1 | -82.8 | 0.104 |
| 2 | -42.3 | 0.760 |
| 3 | -95.3 | 0.142 |
| 4 | 70.2 | 1.519 |
| 5 | -27.8 | 0.441 |
| 6 | -35.3 | 0.495 |
| 7 | -29.8 | 0.431 |
| 8 | -33.3 | 1.015 |
| 9 | -22.1 | 0.925 |
| 10 | -30.9 | 1.058 |
| 11 | 9.2 | 1.001 |
| 12 | -38.3 | 1.144 |